A relaxed structure of ZrCuAgPt, computed with PBE.

Summary:
As for the crystal system: cubic. The space group is F-43m, No. 216. Its energy of formation is -1.5 eV/f.u.

a = 4.5886 Å, b = 4.5886 Å, c = 4.5886 Å
α = 60.00°, β = 60.00°, γ = 60.00°
With the nearest neighbours (Å) after each atom.
Positions (direct):
Zr  0.0000  0.0000  0.0000  4 Pt 2.81, 4 Cu 2.81
Cu  0.2500  0.2500  0.2500  4 Zr 2.81, 4 Ag 2.81
Ag  0.5000  0.5000  0.5000  4 Cu 2.81, 4 Pt 2.81
Pt  0.7500  0.7500  0.7500  4 Zr 2.81, 4 Ag 2.81